No. 1
Compound: PrGa4Cu2Ru
Source: Alexandria via LeMat-Bulk
Functional: PBE
Structure: relaxed

abc: 9.4174 9.4174 9.4174
angles: 25.77 25.77 25.77
Sites, in units of the cell vectors:
Pr  0.0000  0.0000  0.0000
Ga  0.1319  0.1319  0.1319
Ga  0.4035  0.4035  0.4035
Ga  0.5965  0.5965  0.5965
Ga  0.8681  0.8681  0.8681
Cu  0.2324  0.2324  0.2324
Cu  0.7676  0.7676  0.7676
Ru  0.5000  0.5000  0.5000

The value obtained for the formation enthalpy at 0 K is -30 kJ per mole of atoms.

No. 2
Compound: PrGa3CuRu
Source: Alexandria via LeMat-Bulk
Functional: PBE
Structure: relaxed

abc: 6.8797 6.8797 5.8676
angles: 90.00 90.00 124.38
Sites, in units of the cell vectors:
Pr  0.2345  0.7655  0.7500
Pr  0.7655  0.2345  0.2500
Ga  0.1950  0.1950  0.0000
Ga  0.1950  0.1950  0.5000
Ga  0.3433  0.6567  0.2500
Ga  0.6567  0.3433  0.7500
Ga  0.8050  0.8050  0.0000
Ga  0.8050  0.8050  0.5000
Cu  0.1428  0.8572  0.2500
Cu  0.8572  0.1428  0.7500
Ru  0.4547  0.5453  0.7500
Ru  0.5453  0.4547  0.2500

The value obtained for the formation enthalpy at 0 K is -24 kJ per mole of atoms.

No. 3
Compound: PrScGa2Cu2
Source: Alexandria via LeMat-Bulk
Functional: PBE
Structure: relaxed

abc: 4.3239 4.3239 7.1219
angles: 90.00 90.00 120.00
Sites, in units of the cell vectors:
Pr  0.0000  0.0000  0.0000
Sc  0.0000  0.0000  0.5000
Ga  0.3333  0.6667  0.2924
Ga  0.6667  0.3333  0.7076
Cu  0.3333  0.6667  0.6913
Cu  0.6667  0.3333  0.3087

The value obtained for the formation enthalpy at 0 K is -48 kJ per mole of atoms.

No. 4
Compound: PrSc2Ga2Cu2
Source: Alexandria via LeMat-Bulk
Functional: PBE
Structure: relaxed

abc: 8.9180 8.9180 8.9180
angles: 28.36 28.36 28.36
Sites, in units of the cell vectors:
Pr  0.0000  0.0000  0.0000
Sc  0.1307  0.1307  0.1307
Sc  0.8693  0.8693  0.8693
Ga  0.2514  0.2514  0.2514
Ga  0.7486  0.7486  0.7486
Cu  0.4202  0.4202  0.4202
Cu  0.5798  0.5798  0.5798

The value obtained for the formation enthalpy at 0 K is -40 kJ per mole of atoms.

No. 5
Compound: Pr2GaCuSe5
Source: Alexandria via LeMat-Bulk
Functional: PBE
Structure: relaxed

abc: 9.3321 9.3321 11.7824
angles: 90.00 90.00 154.51
Sites, in units of the cell vectors:
Pr  0.1103  0.8897  0.5000
Pr  0.1248  0.8752  0.1210
Pr  0.8752  0.1248  0.6210
Pr  0.8897  0.1103  0.0000
Ga  0.4087  0.5913  0.2883
Ga  0.5913  0.4087  0.7883
Cu  0.2566  0.7434  0.9364
Cu  0.7434  0.2566  0.4364
Se  0.0437  0.9563  0.8839
Se  0.3070  0.6930  0.4615
Se  0.3077  0.6923  0.1481
Se  0.3607  0.6393  0.8147
Se  0.4958  0.5042  0.1108
Se  0.5042  0.4958  0.6108
Se  0.6393  0.3607  0.3147
Se  0.6923  0.3077  0.6481
Se  0.6930  0.3070  0.9615
Se  0.9563  0.0437  0.3839

The value obtained for the uncorrected formation energy is -1.22 eV/atom.

No. 6
Compound: Pr2GaCu4Si3
Source: Alexandria via LeMat-Bulk
Functional: PBE
Structure: relaxed

abc: 4.1237 4.1237 10.0689
angles: 90.00 90.00 90.00
Sites, in units of the cell vectors:
Pr  0.0000  0.5000  0.2447
Pr  0.5000  0.0000  0.7553
Ga  0.0000  0.0000  0.5000
Cu  0.0000  0.0000  0.0000
Cu  0.0000  0.5000  0.6349
Cu  0.5000  0.0000  0.3651
Cu  0.5000  0.5000  0.0000
Si  0.0000  0.5000  0.8725
Si  0.5000  0.0000  0.1275
Si  0.5000  0.5000  0.5000

The value obtained for the uncorrected formation energy is -0.53 eV/atom.

no.,calculated volume (Å³ per atom),magnetization (Bohr magnetons per cell),total energy (eV per atom)
1,17.4,0.00,-4.603
2,19.1,0.00,-4.787
3,19.2,0.00,-4.725
4,20.2,0.00,-4.941
5,24.5,0.00,-5.010
6,17.1,0.00,-5.053